ScSiAg, relaxed, DFT GGA-PBE; space group = Imm2; formation energy from raw total energies = -0.43 eV per atom
1.0
-0.7774 -5.3023 0.8956
4.5790 -0.3410 2.9048
-0.6627 -0.9797 4.1863
Sc Si Ag
2 2 2
direct
0.1932 0.3038 0.4817
0.6623 0.8346 0.9817
0.2428 0.7143 0.7518
0.7827 0.2542 0.2116
0.6107 0.4185 0.7156
0.0785 0.8863 0.2478

---

ScSiAg4, relaxed, DFT GGA-PBE; space group = F-43m; formation energy from raw total energies = 0.13 eV per atom
1.0
3.6297 -4.0033 0.8180
-1.1792 -5.1125 -1.5304
2.5951 -2.2468 -4.2529
Sc Si Ag
1 1 4
direct
0.7500 0.7500 0.7500
0.0000 0.0000 0.0000
0.8746 0.3751 0.3751
0.3751 0.3751 0.8746
0.3751 0.8746 0.3751
0.3751 0.3751 0.3751

---

Sc2Si2Ag, relaxed, DFT GGA-PBE; energy above the most stable polymorph in this dataset = 0.0785 eV/atom; space group = Immm; formation energy from raw total energies = -0.57 eV per atom
1.0
-2.4406 -2.9429 1.2499
1.7095 -4.8018 -1.4956
2.2316 -2.9957 3.7766
Sc Si Ag
2 2 1
direct
0.7953 0.7047 0.7047
0.2047 0.2953 0.2953
0.5000 0.7108 0.2892
0.5000 0.2892 0.7108
0.0000 0.0000 0.0000

---

ScSiAg, relaxed, DFT GGA-PBE; space group = P4/nmm; formation energy from raw total energies = -0.05 eV per atom
1.0
4.1586 0.0000 0.0000
0.0000 4.1586 0.0000
0.0000 0.0000 6.6997
Sc Si Ag
2 2 2
direct
0.0000 0.0000 0.5000
0.5000 0.5000 0.5000
0.0000 0.5000 0.2179
0.5000 0.0000 0.7821
0.0000 0.5000 0.8341
0.5000 0.0000 0.1659

---

ScSiAg2, relaxed, DFT GGA-PBE; space group = Pm; formation energy from raw total energies = -0.23 eV per atom
1.0
-2.1075 -3.5342 0.8226
2.1765 -1.6679 -1.5894
3.9361 -1.4639 3.7953
Ag Sc Si
2 1 1
direct
0.0000 0.8095 0.0077
0.5000 0.2003 0.2244
0.0000 0.5394 0.5444
0.5000 0.9508 0.7235

---

ScSiAg, relaxed, DFT GGA-PBE; space group = R3m; formation energy from raw total energies = -0.33 eV per atom
1.0
-3.5645 0.3983 2.4996
-5.5441 -3.1399 -3.5844
2.1975 -3.7792 -0.0885
Sc Si Ag
2 2 2
direct
0.1108 0.1921 0.2170
0.7969 0.6629 0.0600
0.3672 0.8071 0.3452
0.6400 0.3982 0.4816
0.2915 0.4210 0.8073
0.9518 0.9305 0.6375

---

ScSiAg, relaxed, DFT GGA-PBE; space group = P3m1; formation energy from raw total energies = 0.06 eV per atom
1.0
3.1203 0.0000 0.0000
-1.5601 2.7022 0.0000
0.0000 0.0000 6.6878
Ag Sc Si
1 1 1
direct
0.0000 0.0000 0.9862
0.6667 0.3333 0.3455
0.3333 0.6667 0.6683

---

ScSiAg, relaxed, DFT GGA-PBE; space group = Pnma; formation energy from raw total energies = -0.36 eV per atom
1.0
-0.1418 5.1480 -2.1775
-4.0605 -0.9325 -1.9400
-3.9586 2.8220 6.9293
Sc Si Ag
4 4 4
direct
0.7892 0.2500 0.4186
0.7108 0.7500 0.9186
0.2108 0.7500 0.5814
0.2892 0.2500 0.0814
0.2811 0.2500 0.4070
0.2189 0.7500 0.9070
0.7189 0.7500 0.5930
0.7811 0.2500 0.0930
0.9922 0.2500 0.7892
0.5078 0.7500 0.2892
0.0078 0.7500 0.2108
0.4922 0.2500 0.7108

---

ScSiAg2, relaxed, DFT GGA-PBE; space group = I-42d; formation energy from raw total energies = -0.05 eV per atom
1.0
3.9446 0.0000 0.0000
0.0000 3.9446 0.0000
1.9723 1.9723 9.9293
Sc Si Ag
2 2 4
direct
0.0000 0.0000 0.0000
0.7500 0.2500 0.5000
0.5000 0.5000 0.0000
0.2500 0.7500 0.5000
0.6142 0.1250 0.2500
0.1358 0.6250 0.2500
0.3750 0.3858 0.7500
0.8750 0.8642 0.7500

---

ScSi2Ag, relaxed, DFT GGA-PBE; space group = Fm-3m; formation energy from raw total energies = 0.03 eV per atom
1.0
0.6345 -3.5525 2.9025
0.0861 0.7322 4.5721
-3.4991 -1.4798 2.6483
Sc Si Ag
1 2 1
direct
0.0000 0.0000 0.0000
0.2500 0.2500 0.2500
0.7500 0.7500 0.7500
0.5000 0.5000 0.5000

---

Sc2Si2Ag, relaxed, DFT GGA-PBE; energy above the most stable polymorph in this dataset = 0.0000 eV/atom; space group = P4/mbm; formation energy from raw total energies = -0.64 eV per atom
1.0
-5.3148 -3.8712 1.2903
2.2945 -4.5872 -4.3117
2.0123 -1.7760 2.9603
Sc Si Ag
4 4 2
direct
0.1735 0.6735 0.5000
0.6735 0.8265 0.5000
0.8265 0.3265 0.5000
0.3265 0.1735 0.5000
0.3756 0.8756 0.0000
0.8756 0.6244 0.0000
0.6244 0.1244 0.0000
0.1244 0.3756 0.0000
0.0000 0.0000 0.0000
0.5000 0.5000 0.0000

---

ScSiAg, relaxed, DFT GGA-PBE; space group = C2/m; formation energy from raw total energies = -0.37 eV per atom
1.0
5.0327 -0.0008 0.0025
0.0004 3.6514 0.0012
1.1778 1.8241 6.0666
Sc Si Ag
2 2 2
direct
0.5297 0.6279 0.5576
0.1517 0.8764 0.0601
0.9963 0.5260 0.7609
0.6851 0.9783 0.8568
0.6211 0.3145 0.1847
0.0601 0.1898 0.4330

---

Sc2SiAg, relaxed, DFT GGA-PBE; space group = F-43m; formation energy from raw total energies = 0.03 eV per atom
1.0
-1.5852 0.9143 4.3754
-3.4875 -2.6245 1.8553
0.9291 -3.0189 3.5378
Ag Sc Si
1 2 1
direct
0.5000 0.5000 0.5000
0.0000 0.0000 0.0000
0.2500 0.2500 0.2500
0.7500 0.7500 0.7500

---

ScSiAg, relaxed, DFT GGA-PBE; space group = P6_3/mmc; formation energy from raw total energies = 1.11 eV per atom
1.0
4.0097 -2.3150 0.0000
0.0000 4.6300 0.0000
0.0000 0.0000 10.5870
Sc Si Ag
2 2 2
direct
0.0000 0.0000 0.2500
0.0000 0.0000 0.7500
0.0000 0.0000 0.0000
0.0000 0.0000 0.5000
0.3333 0.6667 0.2500
0.6667 0.3333 0.7500

---

Sc2SiAg, relaxed, DFT GGA-PBE; space group = Amm2; formation energy from raw total energies = -0.46 eV per atom
1.0
4.1497 0.0000 0.0000
0.0000 3.6663 0.0000
0.0000 1.8327 5.2083
Ag Sc Si
1 2 1
direct
0.5000 0.5466 0.7819
0.0000 0.9770 0.9211
0.5000 0.2679 0.3391
0.0000 0.7085 0.4580

---

ScSiAg2, relaxed, DFT GGA-PBE; space group = I-4m2; formation energy from raw total energies = -0.19 eV per atom
1.0
-2.1395 -3.8491 -1.5146
4.0424 -1.6492 -1.6205
-0.3856 1.2982 4.4557
Ag Sc Si
2 1 1
direct
0.0000 0.0000 0.0000
0.2500 0.7500 0.5000
0.5000 0.5000 0.0000
0.7500 0.2500 0.5000

---

ScSiAg, relaxed, DFT GGA-PBE; space group = P6_3/mmc; formation energy from raw total energies = -0.35 eV per atom
1.0
4.0956 -2.3646 0.0000
0.0000 4.7292 0.0000
0.0000 0.0000 5.5928
Sc Si Ag
2 2 2
direct
0.3333 0.6667 0.2500
0.6667 0.3333 0.7500
0.3333 0.6667 0.7500
0.6667 0.3333 0.2500
0.0000 0.0000 0.0000
0.0000 0.0000 0.5000

---

Sc2SiAg, relaxed, DFT GGA-PBE; space group = P4mm; formation energy from raw total energies = -0.10 eV per atom
1.0
3.1607 0.0047 0.0000
-0.0021 3.1607 0.0000
0.0000 0.0000 7.9035
Ag Sc Si
1 2 1
direct
0.5000 0.5000 0.7225
0.0000 0.0000 0.9745
0.5000 0.5000 0.2881
0.0000 0.0000 0.5148

---

ScSiAg2, relaxed, DFT GGA-PBE; space group = R3m; formation energy from raw total energies = 0.05 eV per atom
1.0
-3.9780 7.4784 3.6483
-6.2463 5.4585 4.0311
-3.9977 5.6453 6.1001
Ag Sc Si
2 1 1
direct
0.0051 0.0051 0.0051
0.2506 0.2506 0.2506
0.4958 0.4958 0.4958
0.7485 0.7485 0.7485

---

ScSi2Ag, relaxed, DFT GGA-PBE; space group = P4/mmm; formation energy from raw total energies = -0.24 eV per atom
1.0
-0.9474 -1.8975 3.5868
0.4513 -3.7069 -1.8419
3.7298 -0.0280 0.9703
Ag Sc Si
1 1 2
direct
0.5000 0.0000 0.5000
0.0000 0.5000 0.5000
0.0000 0.0000 0.0000
0.5000 0.5000 0.0000

---

For reference, total DFT energy (no corrections) by record: -5.298; -3.729; -5.838; -4.918; -4.590; -5.196; -4.811; -5.226; -4.410; -4.974; -5.917; -5.240; -5.201; -3.761; -5.698; -4.554; -5.217; -5.337; -4.318; -5.248 eV per atom.